# GaCoAu2O, optimized geometry, DFT PBE+U
# - Uncorrected energy: -17.49 eV for the cell shown
data_GaCoAu2O
_cell_length_a 4.716
_cell_length_b 4.716
_cell_length_c 3.810
_cell_angle_alpha 90.00
_cell_angle_beta 90.00
_cell_angle_gamma 90.00
_symmetry_space_group_name_H-M 'P 4/m m m'
_symmetry_Int_Tables_number 123
_symmetry_space_group_name_Hall '-P 4 2'
loop_
_atom_site_label
_atom_site_type_symbol
_atom_site_fract_x
_atom_site_fract_y
_atom_site_fract_z
_atom_site_occupancy
Ga1 Ga 0.000 0.000 0.000 1
Co1 Co 0.500 0.500 0.000 1
Au1 Au 0.000 0.500 0.500 1
O1 O 0.000 0.000 0.500 1